Density functional theory data (PBE+U) for a relaxed MoH2Cl2O3 crystal.

## Properties
Density in g/cm³: 2.603
SG: Pmn2_1 (31)
Final energy in eV for the cell shown: -82.6
Crystal system: orthorhombic

POSCAR file:
```
MoH2Cl2O3
1.0
9.386 0.000 0.000
0.000 3.896 0.000
0.000 0.000 7.564
Mo H Cl O
2 4 4 6
Direct
0.000 0.238 0.000
0.500 0.762 0.500
0.084 0.390 0.630
0.416 0.610 0.130
0.584 0.610 0.130
0.916 0.390 0.630
0.245 0.306 0.945
0.255 0.694 0.445
0.745 0.694 0.445
0.755 0.306 0.945
0.000 0.272 0.224
0.000 0.289 0.687
0.000 0.783 0.968
0.500 0.217 0.468
0.500 0.711 0.187
0.500 0.728 0.724
```